{"formula": "NdSmIr2", "functional": "PBE", "state": "optimized geometry", "lattice": [[-3.540, -3.213, -1.421], [1.213, -4.700, -1.145], [-1.342, -3.730, 3.026]], "species": ["Ir", "Ir", "Nd", "Sm"], "frac_coords": [[0.250, 0.250, 0.250], [0.750, 0.750, 0.750], [0.500, 0.500, 0.500], [0.000, 0.000, 0.000]], "e_form_mev_per_atom": -588, "polymorph_energy_ev_per_atom": 0.056, "m_tot_mub_per_cell": 0.00}